1.
NbCF2: optimized geometry, PBE.

Calculated values
Polymorph energy (0 for the lowest one): 295 kJ/mol of formula units
Space group: No. 225
Raw formation energy: -0.01 eV per atom

Unit cell a=3.847 b=3.847 c=3.847 alpha=60.00 beta=60.00 gamma=60.00
Atoms (fractional coordinates):
Nb: 0.500 0.500 0.500
C: 0.000 0.000 0.000
F: 0.250 0.250 0.250
F: 0.750 0.750 0.750

---

2.
NbC2F: optimized geometry, PBE.

Calculated values
Polymorph energy (0 for the lowest one): 0 kJ/mol of formula units
Space group: No. 122
Raw formation energy: 1.30 eV per atom

Unit cell a=4.704 b=4.704 c=6.336 alpha=68.21 beta=68.21 gamma=90.00
Atoms (fractional coordinates):
Nb: 0.000 0.000 0.000
Nb: 0.750 0.250 0.500
C: 0.666 0.125 0.250
C: 0.084 0.625 0.250
C: 0.375 0.334 0.750
C: 0.875 0.916 0.750
F: 0.500 0.500 0.000
F: 0.250 0.750 0.500

---

3.
NbC2F: optimized geometry, PBE.

Calculated values
Polymorph energy (0 for the lowest one): 42 kJ/mol of formula units
Space group: No. 225
Raw formation energy: 1.41 eV per atom

Unit cell a=3.856 b=3.856 c=3.856 alpha=60.00 beta=60.00 gamma=60.00
Atoms (fractional coordinates):
Nb: 0.500 0.500 0.500
C: 0.250 0.250 0.250
C: 0.750 0.750 0.750
F: 0.000 0.000 0.000